First-principles (PBE with a Hubbard U) data for an optimized crystal structure of TeWF2, as listed in Alexandria via LeMat-Bulk.

The structure in POSCAR format:
```
TeWF2
1.0
1.859 0.000 10.292
-0.930 1.610 10.292
-0.930 -1.610 10.292
F Te W
2 1 1
direct
0.876 0.876 0.876
0.124 0.124 0.124
0.000 0.000 0.000
0.500 0.500 0.500
```

Results
DOS at the Fermi energy, states/eV per cell: 2.15
Volume, Å³/cell: 92.5
Polymorph energy (0 for the lowest one), kJ/mol of formula units: 0